A geometry-optimized CaFe2Pt structure. Source: the Alexandria database, functional PBE.

a = 6.3992 Å, b = 6.3992 Å, c = 6.3992 Å
α = 90.00°, β = 90.00°, γ = 90.00°
Fractional positions:
Ca 0.0000 0.0000 0.0000
Ca 0.0000 0.5000 0.5000
Ca 0.5000 0.0000 0.5000
Ca 0.5000 0.5000 0.0000
Fe 0.0000 0.0000 0.5000
Fe 0.0000 0.5000 0.0000
Fe 0.2500 0.2500 0.7500
Fe 0.2500 0.7500 0.2500
Fe 0.5000 0.0000 0.0000
Fe 0.5000 0.5000 0.5000
Fe 0.7500 0.2500 0.2500
Fe 0.7500 0.7500 0.7500
Pt 0.2500 0.2500 0.2500
Pt 0.2500 0.7500 0.7500
Pt 0.7500 0.2500 0.7500
Pt 0.7500 0.7500 0.2500

Results
- E_form: 0.1428 eV/atom
- DOS(E_F): 4.8 states/eV/f.u.
- Symmetry: F-43m (216)
- VASP energy: -97.59 eV/cell
- M_tot: 21.62 μB per cell